## Pm3Si5Se12 (PBE)

Data for a relaxed Pm3Si5Se12 crystal.

Cell lengths 13.7888, 13.7888, 13.7888 Å; angles 109.47, 109.47, 109.47 degrees
With the nearest neighbours (Å) after each atom.
Sites, in units of the cell vectors:
Pm (0.7500, 0.3750, 0.1250)  8 Se 3.06-3.12
Pm (0.8750, 0.7500, 0.1250)  8 Se 3.06-3.12
Pm (0.3750, 0.7500, 0.6250)  8 Se 3.06-3.12
Pm (0.2500, 0.1250, 0.3750)  8 Se 3.06-3.12
Pm (0.8750, 0.1250, 0.2500)  8 Se 3.06-3.12
Pm (0.3750, 0.6250, 0.2500)  8 Se 3.06-3.12
Pm (0.6250, 0.3750, 0.7500)  8 Se 3.06-3.12
Pm (0.1250, 0.8750, 0.7500)  8 Se 3.06-3.12
Pm (0.7500, 0.8750, 0.6250)  8 Se 3.06-3.12
Pm (0.6250, 0.2500, 0.3750)  8 Se 3.06-3.12
Pm (0.1250, 0.2500, 0.8750)  8 Se 3.06-3.12
Pm (0.2500, 0.6250, 0.8750)  8 Se 3.06-3.12
Si (0.1250, 0.3750, 0.2500)  4 Se 2.35
Si (0.0000, 0.5000, 0.0000)  6 Se 2.66
Si (0.0000, 0.0000, 0.0000)  6 Se 2.66
Si (0.3750, 0.2500, 0.1250)  4 Se 2.35
Si (0.5000, 0.0000, 0.5000)  6 Se 2.66
Si (0.5000, 0.5000, 0.0000)  6 Se 2.66
Si (0.1250, 0.7500, 0.3750)  4 Se 2.35
Si (0.7500, 0.1250, 0.8750)  4 Se 2.35
Si (0.7500, 0.6250, 0.3750)  4 Se 2.35
Si (0.3750, 0.1250, 0.7500)  4 Se 2.35
Si (0.6250, 0.8750, 0.2500)  4 Se 2.35
Si (0.5000, 0.5000, 0.5000)  6 Se 2.66
Si (0.5000, 0.0000, 0.0000)  6 Se 2.66
Si (0.0000, 0.0000, 0.5000)  6 Se 2.66
Si (0.2500, 0.3750, 0.6250)  4 Se 2.35
Si (0.2500, 0.8750, 0.1250)  4 Se 2.35
Si (0.0000, 0.5000, 0.5000)  6 Se 2.66
Si (0.8750, 0.2500, 0.6250)  4 Se 2.35
Si (0.6250, 0.7500, 0.8750)  4 Se 2.35
Si (0.8750, 0.6250, 0.7500)  4 Se 2.35
Se (0.7116, 0.1231, 0.0279)  1 Si 2.35
Se (0.3163, 0.5279, 0.4049)  1 Si 2.35
Se (0.9721, 0.3769, 0.2884)  1 Si 2.35
Se (0.5279, 0.2116, 0.1231)  1 Si 2.35
Se (0.5886, 0.7116, 0.6837)  1 Si 2.35
Se (0.9721, 0.5951, 0.1837)  1 Si 2.35
Se (0.3163, 0.7884, 0.4114)  1 Si 2.35
Se (0.0951, 0.9114, 0.1231)  1 Si 2.35
Se (0.5951, 0.9721, 0.6837)  1 Si 2.35
Se (0.7116, 0.5886, 0.1837)  1 Si 2.35
Se (0.7884, 0.4721, 0.3769)  1 Si 2.35
Se (0.8163, 0.9049, 0.0279)  1 Si 2.35
Se (0.1231, 0.7116, 0.5279)  1 Si 2.35
Se (0.3769, 0.4049, 0.0886)  1 Si 2.35
Se (0.0886, 0.9049, 0.3769)  1 Si 2.35
Se (0.4114, 0.1231, 0.5951)  1 Si 2.35
Se (0.0886, 0.1837, 0.2116)  1 Si 2.35
Se (0.4721, 0.6837, 0.0951)  1 Si 2.35
Se (0.8163, 0.9114, 0.2884)  1 Si 2.35
Se (0.1231, 0.4114, 0.0951)  1 Si 2.35
Se (0.3769, 0.9721, 0.7884)  1 Si 2.35
Se (0.5951, 0.6231, 0.4114)  1 Si 2.35
Se (0.9049, 0.8163, 0.5279)  1 Si 2.35
Se (0.7884, 0.3163, 0.9114)  1 Si 2.35
Se (0.4049, 0.3769, 0.5886)  1 Si 2.35
Se (0.0951, 0.1837, 0.4721)  1 Si 2.35
Se (0.2116, 0.6837, 0.0886)  1 Si 2.35
Se (0.1837, 0.0886, 0.7116)  1 Si 2.35
Se (0.6231, 0.0279, 0.2116)  1 Si 2.35
Se (0.8769, 0.5886, 0.9049)  1 Si 2.35
Se (0.5279, 0.3163, 0.9049)  1 Si 2.35
Se (0.5886, 0.8769, 0.4049)  1 Si 2.35
Se (0.9114, 0.8163, 0.7884)  1 Si 2.35
Se (0.9114, 0.0951, 0.6231)  1 Si 2.35
Se (0.8769, 0.2884, 0.4721)  1 Si 2.35
Se (0.1837, 0.0951, 0.9721)  1 Si 2.35
Se (0.6231, 0.5951, 0.9114)  1 Si 2.35
Se (0.4049, 0.0279, 0.3163)  1 Si 2.35
Se (0.2884, 0.4114, 0.8163)  1 Si 2.35
Se (0.2116, 0.5279, 0.6231)  1 Si 2.35
Se (0.9049, 0.0886, 0.8769)  1 Si 2.35
Se (0.6837, 0.2116, 0.5886)  1 Si 2.35
Se (0.4721, 0.7884, 0.8769)  1 Si 2.35
Se (0.0279, 0.4049, 0.8163)  1 Si 2.35
Se (0.4114, 0.2884, 0.3163)  1 Si 2.35
Se (0.0279, 0.6231, 0.7116)  1 Si 2.35
Se (0.6837, 0.4721, 0.5951)  1 Si 2.35
Se (0.2884, 0.8769, 0.9721)  1 Si 2.35

Summary:
Volume   25.2 Å³ per atom
Space group   No. 230
Spin magnetization   0.00 μB/cell
E_form (uncorrected)   -804 meV/atom